{"formula": "PuAgPbO5", "functional": "GGA-PBE", "state": "optimized geometry", "raw_formation_energy_ev_per_fu": -12.8, "spacegroup": "C2/c, No. 15", "magmom_total_mub_per_fu": 0.976, "lattice": [[-4.177, -1.265, 4.544], [5.560, -1.346, 2.639], [-0.291, 8.338, -1.846]], "species": ["O", "O", "O", "Pb", "Ag", "Pb", "Pu", "O", "O", "Pu", "O", "O", "Ag", "O", "O", "O"], "frac_coords": [[0.899, 0.299, 0.066], [0.052, 0.948, 0.250], [0.323, 0.220, 0.117], [0.705, 0.295, 0.750], [0.739, 0.261, 0.250], [0.295, 0.705, 0.250], [0.000, 0.000, 0.000], [0.299, 0.899, 0.566], [0.101, 0.701, 0.934], [0.000, 0.000, 0.500], [0.220, 0.323, 0.617], [0.701, 0.101, 0.434], [0.261, 0.739, 0.750], [0.780, 0.677, 0.383], [0.677, 0.780, 0.883], [0.948, 0.052, 0.750]]}

{"formula": "LaCu2MoOs", "functional": "GGA-PBE", "state": "optimized geometry", "spacegroup": "P4/mmm, No. 123", "formation_enthalpy_0k_ev_per_atom": 2.23, "magmom_total_mub_per_fu": 0.000, "lattice": [[4.782, 0.000, 0.000], [0.000, 4.793, 0.000], [0.000, 0.000, 4.782]], "species": ["Mo", "Cu", "La", "Cu", "Os"], "frac_coords": [[0.500, 0.500, 0.500], [0.000, 0.000, 0.500], [0.000, 0.000, 0.000], [0.500, 0.000, 0.000], [0.000, 0.500, 0.000]]}

{"formula": "PrEuSn", "functional": "GGA-PBE", "state": "optimized geometry", "spacegroup": "F-43m, No. 216", "formation_enthalpy_0k_ev_per_atom": -0.46, "magmom_total_mub_per_fu": 7.920, "relative_energy_mev_per_atom": 2, "lattice": [[5.411, 0.000, 0.000], [2.705, 4.686, 0.000], [2.705, 1.562, 4.418]], "species": ["Sn", "Pr", "Eu"], "frac_coords": [[0.250, 0.250, 0.250], [0.500, 0.500, 0.500], [0.000, 0.000, 0.000]]}

{"formula": "Mn2TcI8", "functional": "GGA-PBE", "state": "optimized geometry", "raw_formation_energy_ev_per_fu": -2.3, "spacegroup": "C2/m, No. 12", "magmom_total_mub_per_fu": 13.044, "lattice": [[7.071, -0.206, 0.128], [-0.167, 8.047, 3.782], [-0.472, 0.748, 8.849]], "species": ["Mn", "I", "I", "I", "I", "Tc", "I", "Mn", "I", "I", "I"], "frac_coords": [[0.431, 0.161, 0.161], [0.762, 0.712, 0.154], [0.373, 0.326, 0.326], [0.627, 0.674, 0.674], [0.238, 0.846, 0.288], [0.000, 0.000, 0.000], [0.816, 0.157, 0.157], [0.569, 0.839, 0.839], [0.238, 0.288, 0.846], [0.184, 0.843, 0.843], [0.762, 0.154, 0.712]]}

{"formula": "ReOs2F", "functional": "GGA-PBE", "state": "optimized geometry", "raw_formation_energy_ev_per_fu": 2.9, "spacegroup": "I-42d, No. 122", "magmom_total_mub_per_fu": 0.000, "relative_energy_mev_per_atom": 290, "lattice": [[-1.591, -2.400, 5.826], [-3.553, -4.622, -2.873], [-0.353, -5.168, 1.400]], "species": ["Os", "Re", "Os", "Os", "F", "Re", "Os", "F"], "frac_coords": [[0.875, 0.860, 0.750], [0.000, 0.000, 0.000], [0.140, 0.625, 0.250], [0.375, 0.390, 0.750], [0.250, 0.750, 0.500], [0.750, 0.250, 0.500], [0.610, 0.125, 0.250], [0.500, 0.500, 0.000]]}

{"formula": "TcNiIr2", "functional": "GGA-PBE", "state": "optimized geometry", "spacegroup": "Fm-3m, No. 225", "formation_enthalpy_0k_ev_per_atom": 0.27, "magmom_total_mub_per_fu": 1.195, "relative_energy_mev_per_atom": 397, "lattice": [[2.574, -3.249, 1.143], [-1.625, -3.410, 2.055], [-0.293, -3.787, -2.016]], "species": ["Ir", "Ir", "Ni", "Tc"], "frac_coords": [[0.750, 0.750, 0.750], [0.250, 0.250, 0.250], [0.000, 0.000, 0.000], [0.500, 0.500, 0.500]]}

{"formula": "NiIrSe2", "functional": "GGA-PBE", "state": "optimized geometry", "raw_formation_energy_ev_per_fu": 1.1, "spacegroup": "P2/m, No. 10", "magmom_total_mub_per_fu": 0.002, "lattice": [[3.548, 0.000, 0.000], [0.000, 4.398, 0.001], [0.000, 1.028, 4.431]], "species": ["Ir", "Se", "Ni", "Se"], "frac_coords": [[0.500, 0.250, 0.250], [0.000, 0.476, 0.517], [0.500, 0.750, 0.750], [0.000, 0.024, 0.983]]}

{"formula": "Fe3CuRh4", "functional": "GGA-PBE", "state": "optimized geometry", "spacegroup": "P4/mmm, No. 123", "formation_enthalpy_0k_ev_per_atom": -0.04, "magmom_total_mub_per_fu": 13.323, "lattice": [[4.253, 0.000, 0.000], [0.000, 6.007, 0.000], [0.000, 0.000, 8.506]], "species": ["Rh", "Rh", "Rh", "Cu", "Rh", "Rh", "Rh", "Fe", "Fe", "Cu", "Fe", "Fe", "Fe", "Rh", "Rh", "Fe"], "frac_coords": [[0.500, 0.753, 0.000], [0.000, 0.753, 0.250], [0.500, 0.753, 0.500], [0.000, 0.500, 0.500], [0.000, 0.247, 0.250], [0.500, 0.247, 0.000], [0.500, 0.247, 0.500], [0.000, 0.000, 0.000], [0.500, 0.500, 0.250], [0.000, 0.500, 0.000], [0.500, 0.000, 0.750], [0.000, 0.000, 0.500], [0.500, 0.500, 0.750], [0.000, 0.753, 0.750], [0.000, 0.247, 0.750], [0.500, 0.000, 0.250]]}